Record 1
A plane-wave DFT calculation with PBE was carried out for an optimized crystal structure of SrTbAgTeS2.

a = 4.0945 Å, b = 14.5365 Å, c = 11.0649 Å
α = 90.00°, β = 90.00°, γ = 90.00°
With the nearest neighbours (Å) after each atom.
Space group Cmcm (No. 63)
Inequivalent atoms, fractional coordinates:
Sr 0.0000 0.2068 0.2500 x4  4 S 3.12, 2 Te 3.31, 2 Ag 3.48
Tb 0.0000 0.0000 0.0000 x4  4 S 2.81
Ag 0.0000 0.4870 0.7500 x4  2 S 2.53, 2 Te 2.76
Te 0.0000 0.1139 0.7500 x4  2 Ag 2.76
S 0.0000 0.3796 0.5707 x8  1 Ag 2.53, 2 Tb 2.81

Computed properties:
- volume (Å³/atom) = 27.4
- crystal system = orthorhombic
- electronic total energy (eV per atom) = -4.8530

---

Record 2
A plane-wave DFT calculation with PBE was carried out for an optimized crystal structure of RbNb4Cl11.

a = 16.2372 Å, b = 6.9684 Å, c = 6.6706 Å
α = 90.00°, β = 90.00°, γ = 90.00°
With the nearest neighbours (Å) after each atom.
Space group Pmma (No. 51)
Inequivalent atoms, fractional coordinates:
Rb 0.2500 0.0000 0.0110 x2  10 Cl 3.49-3.64
Nb 0.0000 0.2847 0.5000 x4  6 Cl 2.51-2.59
Nb 0.1418 0.5000 0.6220 x4  6 Cl 2.43-2.62
Cl 0.0797 0.2460 0.8206 x8  2 Nb 2.43-2.51
Cl 0.0833 0.0000 0.3561 x4  2 Nb 2.59
Cl 0.0850 0.5000 0.2815 x4  3 Nb 2.45-2.51
Cl 0.2500 0.2664 0.4810 x4  2 Nb 2.57
Cl 0.2500 0.5000 0.9138 x2  2 Nb 2.62

Computed properties:
- volume (Å³/atom) = 23.6
- crystal system = orthorhombic
- electronic total energy (eV per atom) = -5.2012

---

Record 3
A plane-wave DFT calculation with PBE was carried out for an optimized crystal structure of Al2CoCu4Ni.

a = 5.6424 Å, b = 5.6424 Å, c = 11.8976 Å
α = 90.00°, β = 90.00°, γ = 90.00°
With the nearest neighbours (Å) after each atom.
Space group I4_1/amd (No. 141, origin choice 2)
Inequivalent atoms, fractional coordinates:
Al 0.0000 0.2500 0.1244 x8  8 Cu 2.49
Co 0.0000 0.2500 0.8750 x4  8 Cu 2.49
Cu 0.2495 0.0000 0.5000 x16  4 Al 2.49, 2 Ni 2.49, 2 Co 2.49
Ni 0.0000 0.2500 0.3750 x4  8 Cu 2.49

Computed properties:
- offset from the most stable computed form (eV per formula unit) = 0.02
- volume (Å³/atom) = 11.8
- crystal system = tetragonal
- electronic total energy (eV per atom) = -4.5239

---

Record 4
A plane-wave DFT calculation with PBE was carried out for an optimized crystal structure of BeCuPb2.

a = 7.0692 Å, b = 7.0692 Å, c = 7.0692 Å
α = 90.00°, β = 90.00°, γ = 90.00°
With the nearest neighbours (Å) after each atom.
Space group F-43m (No. 216)
Inequivalent atoms, fractional coordinates:
Be 0.0000 0.0000 0.0000 x4  4 Pb 3.06, 4 Cu 3.06
Cu 0.2500 0.2500 0.2500 x4  4 Pb 3.06, 4 Be 3.06
Pb 0.0000 0.0000 0.5000 x4  4 Cu 3.06, 4 Pb 3.06
Pb 0.2500 0.2500 0.7500 x4  4 Pb 3.06, 4 Be 3.06

Computed properties:
- volume (Å³/atom) = 22.1
- crystal system = cubic
- electronic total energy (eV per atom) = -2.9785

---

Record 5
A plane-wave DFT calculation with PBE was carried out for an optimized crystal structure of BaLiNpSe3.

a = 4.3184 Å, b = 14.0304 Å, c = 10.8525 Å
α = 90.00°, β = 90.00°, γ = 90.00°
With the nearest neighbours (Å) after each atom.
Space group Cmcm (No. 63)
Inequivalent atoms, fractional coordinates:
Ba 0.0000 0.2472 0.2500 x4  6 Se 3.29-3.41
Li 0.0000 0.0266 0.7500 x4  4 Se 2.53-2.55
Np 0.0000 0.5000 0.0000 x4  6 Se 2.89-2.93
Se 0.0000 0.1331 0.5620 x8  1 Li 2.53
Se 0.0000 0.4295 0.7500 x4  2 Li 2.55

Computed properties:
- volume (Å³/atom) = 27.4
- crystal system = orthorhombic
- electronic total energy (eV per atom) = -6.0245

---

Record 6
A plane-wave DFT calculation with PBE was carried out for an optimized crystal structure of CdFeSiHg.

a = 6.6007 Å, b = 6.6007 Å, c = 6.6007 Å
α = 90.00°, β = 90.00°, γ = 90.00°
With the nearest neighbours (Å) after each atom.
Space group F-43m (No. 216)
Inequivalent atoms, fractional coordinates:
Cd 0.0000 0.0000 0.0000 x4  4 Hg 2.86, 4 Si 2.86
Fe 0.0000 0.0000 0.5000 x4  4 Hg 2.86, 4 Si 2.86
Si 0.2500 0.2500 0.2500 x4  4 Fe 2.86, 4 Cd 2.86
Hg 0.2500 0.2500 0.7500 x4  4 Cd 2.86, 4 Fe 2.86

Computed properties:
- offset from the most stable computed form (eV per formula unit) = 0.00
- volume (Å³/atom) = 18.0
- crystal system = cubic
- electronic total energy (eV per atom) = -3.1714

---

Record 7
A plane-wave DFT calculation with PBE was carried out for an optimized crystal structure of LiPdNO.

a = 3.1214 Å, b = 5.8274 Å, c = 5.2045 Å
α = 90.00°, β = 90.00°, γ = 90.00°
With the nearest neighbours (Å) after each atom.
Space group Pmc2_1 (No. 26)
Inequivalent atoms, fractional coordinates:
Li 0.0000 0.1508 0.0000 x2  2 O 1.86-1.90
Pd 0.5000 0.3533 0.4782 x2  2 N 1.90-1.92, 2 O 2.07
N 0.5000 0.3430 0.8463 x2  2 Pd 1.90-1.92, 2 Li 2.08
O 0.0000 0.1440 0.3643 x2  2 Li 1.86-1.90, 2 Pd 2.07

Computed properties:
- offset from the most stable computed form (eV per formula unit) = 0.41
- volume (Å³/atom) = 11.8
- crystal system = orthorhombic
- electronic total energy (eV per atom) = -5.0607

---

Record 8
A plane-wave DFT calculation with PBE was carried out for an optimized crystal structure of YIn2Ir.

a = 6.9649 Å, b = 6.9649 Å, c = 6.9649 Å
α = 90.00°, β = 90.00°, γ = 90.00°
With the nearest neighbours (Å) after each atom.
Space group F-43m (No. 216)
Inequivalent atoms, fractional coordinates:
Y 0.0000 0.0000 0.0000 x4  4 In 3.02, 4 Ir 3.02
In 0.0000 0.0000 0.5000 x4  4 In 3.02, 4 Ir 3.02
In 0.2500 0.2500 0.2500 x4  4 In 3.02, 4 Y 3.02
Ir 0.2500 0.2500 0.7500 x4  4 In 3.02, 4 Y 3.02

Computed properties:
- volume (Å³/atom) = 21.1
- crystal system = cubic
- electronic total energy (eV per atom) = -5.4725

---

Record 9
A plane-wave DFT calculation with PBE was carried out for an optimized crystal structure of Li2Mg2ZnSnPt2.

a = 4.4985 Å, b = 4.4985 Å, c = 6.3575 Å
α = 90.00°, β = 90.00°, γ = 90.00°
With the nearest neighbours (Å) after each atom.
Space group P-4m2 (No. 115)
Inequivalent atoms, fractional coordinates:
Li 0.0000 0.5000 0.2283 x2  2 Zn 2.68, 4 Mg 2.68-2.84, 2 Sn 2.84
Mg 0.0000 0.0000 0.0000 x1  4 Li 2.68, 4 Pt 2.73
Mg 0.5000 0.5000 0.5000 x1  4 Pt 2.78, 4 Li 2.84
Zn 0.5000 0.5000 0.0000 x1  4 Li 2.68, 4 Pt 2.73
Sn 0.0000 0.0000 0.5000 x1  4 Pt 2.78, 4 Li 2.84
Pt 0.0000 0.5000 0.7564 x2  4 Mg 2.73-2.78, 2 Zn 2.73, 2 Sn 2.78, 1 Li 3.00

Computed properties:
- volume (Å³/atom) = 16.1
- crystal system = tetragonal
- electronic total energy (eV per atom) = -3.6711

---

Record 10
A plane-wave DFT calculation with PBE was carried out for an optimized crystal structure of SnOs.

a = 5.4160 Å, b = 5.4160 Å, c = 5.4160 Å
α = 90.00°, β = 90.00°, γ = 90.00°
With the nearest neighbours (Å) after each atom.
Space group Fm-3m (No. 225)
Inequivalent atoms, fractional coordinates:
Sn 0.0000 0.0000 0.0000 x4  6 Os 2.71
Os 0.0000 0.0000 0.5000 x4  6 Sn 2.71

Computed properties:
- volume (Å³/atom) = 19.9
- crystal system = cubic
- electronic total energy (eV per atom) = -6.5618

---

Record 11
A plane-wave DFT calculation with PBE was carried out for an optimized crystal structure of ErAlGaCo.

a = 9.9028 Å, b = 4.0294 Å, c = 6.8849 Å
α = 90.00°, β = 90.66°, γ = 90.00°
With the nearest neighbours (Å) after each atom.
Space group C2/m (No. 12)
Inequivalent atoms, fractional coordinates:
Er 0.0642 0.0000 0.2534 x4  3 Co 2.76-2.98, 2 Ga 3.01, 2 Al 3.08
Al 0.1573 0.5000 0.9451 x4  3 Co 2.46-2.50, 1 Ga 2.68
Ga 0.1496 0.5000 0.5552 x4  3 Co 2.49, 1 Al 2.68
Co 0.2141 0.0000 0.7473 x4  3 Al 2.46-2.50, 3 Ga 2.49

Computed properties:
- offset from the most stable computed form (eV per formula unit) = 0.00
- volume (Å³/atom) = 17.2
- crystal system = monoclinic
- electronic total energy (eV per atom) = -5.1575

---

Record 12
A plane-wave DFT calculation with PBE was carried out for an optimized crystal structure of TlReAg3Se4.

a = 6.3715 Å, b = 6.3715 Å, c = 6.3715 Å
α = 90.00°, β = 90.00°, γ = 90.00°
With the nearest neighbours (Å) after each atom.
Space group P-43m (No. 215)
Inequivalent atoms, fractional coordinates:
Tl 0.0000 0.0000 0.0000 x1  4 Se 3.06
Re 0.5000 0.5000 0.5000 x1  4 Se 2.46
Ag 0.0000 0.5000 0.5000 x3  4 Se 2.67
Se 0.2769 0.2769 0.2769 x4  1 Re 2.46, 3 Ag 2.67

Computed properties:
- volume (Å³/atom) = 28.7
- crystal system = cubic
- electronic total energy (eV per atom) = -4.0850